1.
BaGdCuTe3 | GGA-PBEsol | optimized geometry

a b c (Å): 7.6542 7.6542 11.3123
angles (deg): 90.00 90.00 146.72
Closest atoms and distances in Å follow each position.
Atoms (fractional coordinates):
Ba 0.2491 0.7509 0.7500  6 Te 3.43-3.46
Ba 0.7509 0.2491 0.2500  6 Te 3.43-3.46
Gd 0.5000 0.5000 0.0000  6 Te 3.01-3.07
Gd 0.5000 0.5000 0.5000  6 Te 3.01-3.07
Cu 0.0329 0.9671 0.2500  4 Te 2.63-2.66
Cu 0.9671 0.0329 0.7500  4 Te 2.63-2.66
Te 0.1388 0.8612 0.0626  1 Cu 2.63
Te 0.1388 0.8612 0.4374  1 Cu 2.63
Te 0.4307 0.5693 0.2500  2 Cu 2.66
Te 0.5693 0.4307 0.7500  2 Cu 2.66
Te 0.8612 0.1388 0.5626  1 Cu 2.63
Te 0.8612 0.1388 0.9374  1 Cu 2.63

Uncorrected formation energy   -1.245 eV/atom
Crystal system   orthorhombic
Total energy   -6.4964 eV/atom
Calculated density   6.77 g cm⁻³


2.
LiLa2Sc | GGA-PBEsol | optimized geometry

a b c (Å): 6.4230 6.4230 6.4230
angles (deg): 147.12 129.26 61.79
Closest atoms and distances in Å follow each position.
Atoms (fractional coordinates):
Li 0.0000 0.0000 0.0000  2 Sc 2.99, 6 La 3.25-3.30
La 0.2449 0.7449 0.5000  2 Li 3.25, 4 Sc 3.33, 4 La 3.48-3.64
La 0.5144 0.5144 0.0000  4 Li 3.30, 4 La 3.48-3.64, 2 Sc 3.49
Sc 0.7847 0.2847 0.5000  2 Li 2.99, 4 La 3.33

Crystal system   orthorhombic
Total energy   -4.7179 eV/atom
Calculated density   4.96 g cm⁻³
E above lowest polymorph   4 meV/atom
ΔH_f (0 K)   0.10 eV per atom